Density functional theory data (GGA-PBE) for TbGePd after structural relaxation.

The space group is P-6m2 (No. 187) and the conventional cell measures 4.4600, 4.4600 and 3.4897 Å, with angles of 90.00, 90.00 and 120.00 degrees. The distinct sites, in fractional coordinates, are Tb at (0.0000, 0.0000, 0.0000), Ge at (0.6667, 0.3333, 0.5000) and Pd at (0.3333, 0.6667, 0.5000).

The calculation puts the formation energy at -960 meV/atom. As for the total magnetic moment: 0.000 μB per atom. Its total energy is -17.32 eV for the cell shown.